Entry 1:
# AlCrNi2O | the Alexandria database | PBEsol | relaxed
data_AlCrNi2O
_chemical_formula_sum 'Al1 Cr1 Ni2 O1'
_symmetry_space_group_name_H-M 'P 1'
_symmetry_Int_Tables_number 1
_symmetry_space_group_name_Hall 'P 1'
_cell_length_a 4.038
_cell_length_b 4.038
_cell_length_c 4.767
_cell_angle_alpha 90.00
_cell_angle_beta 90.00
_cell_angle_gamma 90.00
loop_
_atom_site_label
_atom_site_fract_x
_atom_site_fract_y
_atom_site_fract_z
_atom_site_occupancy
Al1 0.000 0.000 0.000 1
Cr1 0.000 0.000 0.500 1
Ni1 0.000 0.500 0.500 1
Ni2 0.500 0.000 0.500 1
O1 0.500 0.500 0.000 1
# Space group ... P4/mmm
# N(E_F) ... 5.3 states/eV/cell
# Formation energy (no corrections) ... 1420 meV per atom

=====

Entry 2:
# Nd2CdCu2 | the Alexandria database | PBEsol | relaxed
data_Nd2CdCu2
_chemical_formula_sum 'Nd4 Cd2 Cu4'
_symmetry_space_group_name_H-M 'P 1'
_symmetry_Int_Tables_number 1
_symmetry_space_group_name_Hall 'P 1'
_cell_length_a 7.582
_cell_length_b 7.582
_cell_length_c 3.797
_cell_angle_alpha 90.00
_cell_angle_beta 90.00
_cell_angle_gamma 90.00
loop_
_atom_site_label
_atom_site_fract_x
_atom_site_fract_y
_atom_site_fract_z
_atom_site_occupancy
Nd1 0.175 0.325 0.000 1
Nd2 0.325 0.825 0.000 1
Nd3 0.675 0.175 0.000 1
Nd4 0.825 0.675 0.000 1
Cd1 0.000 0.000 0.500 1
Cd2 0.500 0.500 0.500 1
Cu1 0.118 0.618 0.500 1
Cu2 0.382 0.118 0.500 1
Cu3 0.618 0.882 0.500 1
Cu4 0.882 0.382 0.500 1
# Energy of formation ... -239 meV per atom
# Space group ... P4/mbm
# N(E_F) ... 7.9 states/eV/cell

=====

Entry 3:
# CoSi3Mo | the Alexandria database | PBEsol | relaxed
data_CoSi3Mo
_chemical_formula_sum 'Co1 Si3 Mo1'
_symmetry_space_group_name_H-M 'P 1'
_symmetry_Int_Tables_number 1
_symmetry_space_group_name_Hall 'P 1'
_cell_length_a 4.629
_cell_length_b 4.629
_cell_length_c 4.629
_cell_angle_alpha 90.00
_cell_angle_beta 90.00
_cell_angle_gamma 90.00
loop_
_atom_site_label
_atom_site_fract_x
_atom_site_fract_y
_atom_site_fract_z
_atom_site_occupancy
Co1 0.000 0.000 0.000 1
Si1 0.000 0.500 0.500 1
Si2 0.500 0.000 0.500 1
Si3 0.500 0.500 0.000 1
Mo1 0.500 0.500 0.500 1
# Space group ... Pm-3m
# N(E_F) ... 8.9 states/eV/cell
# Formation energy (no corrections) ... 1108 meV per atom

=====

Entry 4:
# TaIn3O7 | the Alexandria database | PBEsol | relaxed
data_TaIn3O7
_chemical_formula_sum 'Ta2 In6 O14'
_symmetry_space_group_name_H-M 'P 1'
_symmetry_Int_Tables_number 1
_symmetry_space_group_name_Hall 'P 1'
_cell_length_a 6.212
_cell_length_b 6.222
_cell_length_c 7.412
_cell_angle_alpha 73.74
_cell_angle_beta 89.03
_cell_angle_gamma 81.56
loop_
_atom_site_label
_atom_site_fract_x
_atom_site_fract_y
_atom_site_fract_z
_atom_site_occupancy
Ta1 0.000 0.000 0.000 1
Ta2 0.000 0.000 0.500 1
In1 0.262 0.452 0.399 1
In2 0.273 0.468 0.881 1
In3 0.464 0.994 0.246 1
In4 0.536 0.006 0.754 1
In5 0.727 0.532 0.119 1
In6 0.738 0.548 0.601 1
O1 0.068 0.643 0.611 1
O2 0.096 0.948 0.264 1
O3 0.099 0.679 0.028 1
O4 0.291 0.091 0.941 1
O5 0.293 0.057 0.530 1
O6 0.436 0.342 0.169 1
O7 0.478 0.356 0.661 1
O8 0.522 0.644 0.339 1
O9 0.564 0.658 0.831 1
O10 0.707 0.943 0.470 1
O11 0.709 0.909 0.059 1
O12 0.901 0.321 0.972 1
O13 0.904 0.052 0.736 1
O14 0.932 0.357 0.389 1
# Space group ... P-1
# Formation energy (no corrections) ... -1934 meV per atom

=====

| no. | VASP energy (eV/atom) | spin magnetization (μB per formula unit) |
| --- | --- | --- |
| 1 | -4.959 | 1.131 |
| 2 | -4.279 | 0.000 |
| 3 | -6.241 | 2.251 |
| 4 | -7.229 | 0.000 |